The following is a PBE calculation of a relaxed structure of TbPm3Zn, from Alexandria.

```
10
Lattice="3.697 0.000 0.000 1.848 6.330 0.305 -0.001 -0.581 12.846" Properties=species:S:1:pos:R:3 pbc="T T T"
Tb 1.848 3.209 9.602
Tb 3.696 2.541 3.549
Pm 1.848 4.364 6.108
Pm 1.848 1.661 0.581
Pm 1.848 5.556 2.749
Pm 3.696 1.386 7.043
Pm 3.696 0.194 10.402
Pm 3.696 4.089 12.570
Zn 3.696 5.349 8.448
Zn 1.848 0.401 4.703
```

Summary:
Total DFT energy (no corrections) (eV per cell): -41.5
Space group: C2/m (12)
Formation energy from the elements (eV/atom): -0.116
Crystal system: monoclinic